Entry 1:
Compound: Mg2NbB
Source: Alexandria
Functional: PBE
Structure: relaxed

Unit cell a=4.8420 b=3.1468 c=8.6679 alpha=90.00 beta=97.70 gamma=90.00
With the nearest neighbours (Å) after each atom.
Element x y z (fractional)
Mg (0.1903, 0.2500, 0.2363)  3 B 2.42-2.47
Mg (0.2655, 0.7500, 0.5675)  10 Mg 2.94-3.25, 2 Nb 3.13
Mg (0.7345, 0.2500, 0.4325)  10 Mg 2.94-3.25, 2 Nb 3.13
Mg (0.8097, 0.7500, 0.7637)  3 B 2.42-2.47
Nb (0.3401, 0.2500, 0.8827)  3 B 2.36-2.38
Nb (0.6599, 0.7500, 0.1173)  3 B 2.36-2.38
B (0.0895, 0.7500, 0.0167)  2 B 1.80
B (0.9105, 0.2500, 0.9833)  2 B 1.80

Results
As for the total energy: -5.09 eV/atom. As for the space-group type: No. 11. As for the formation energy: -0.4 eV/f.u.

=====

Entry 2:
Compound: Mg2NbB
Source: Alexandria
Functional: PBE
Structure: relaxed

Unit cell a=6.0557 b=6.0557 c=8.2387 alpha=116.62 beta=116.62 gamma=29.53
With the nearest neighbours (Å) after each atom.
Element x y z (fractional)
Mg (0.0476, 0.0476, 0.2679)  3 B 2.41-2.64
Mg (0.3372, 0.3372, 0.9472)  1 B 2.99, 8 Mg 2.99-3.09, 2 Nb 3.04
Mg (0.6628, 0.6628, 0.0528)  1 B 2.99, 8 Mg 2.99-3.09, 2 Nb 3.04
Mg (0.9524, 0.9524, 0.7321)  3 B 2.41-2.64
Nb (0.3658, 0.3658, 0.3752)  3 B 2.34-2.35
Nb (0.6342, 0.6342, 0.6248)  3 B 2.34-2.35
B (0.2509, 0.2509, 0.5443)  2 B 1.70
B (0.7491, 0.7491, 0.4557)  2 B 1.70

Results
As for the total energy: -5.07 eV/atom. As for the space-group type: No. 12. As for the formation energy: -0.3 eV/f.u.

=====

Entry 3:
Compound: Mg14NbB
Source: Alexandria
Functional: PBE
Structure: relaxed

Unit cell a=9.9334 b=6.4890 c=6.4890 alpha=53.52 beta=90.00 gamma=90.00
With the nearest neighbours (Å) after each atom.
Element x y z (fractional)
Mg (0.0000, 0.0000, 0.0000)  8 Mg 2.93-3.21
Mg (0.0000, 0.4848, 0.4848)  10 Mg 2.93-3.18
Mg (0.0000, 0.4876, 0.9925)  8 Mg 2.89-3.18
Mg (0.0000, 0.9925, 0.4876)  8 Mg 2.89-3.18
Mg (0.2518, 0.6421, 0.6421)  1 Nb 2.92, 9 Mg 3.09-3.20
Mg (0.2586, 0.1491, 0.6412)  6 Mg 2.84-3.14, 1 B 2.86, 1 Nb 3.08
Mg (0.2586, 0.6412, 0.1491)  6 Mg 2.84-3.14, 1 B 2.86, 1 Nb 3.08
Mg (0.3406, 0.0991, 0.0991)  1 B 2.48
Mg (0.5000, 0.0003, 0.5264)  1 B 2.42
Mg (0.5000, 0.5264, 0.0003)  1 B 2.42
Mg (0.6594, 0.0991, 0.0991)  1 B 2.48
Mg (0.7414, 0.1491, 0.6412)  6 Mg 2.84-3.14, 1 B 2.86, 1 Nb 3.08
Mg (0.7414, 0.6412, 0.1491)  6 Mg 2.84-3.14, 1 B 2.86, 1 Nb 3.08
Mg (0.7482, 0.6421, 0.6421)  1 Nb 2.92, 9 Mg 3.09-3.20
Nb (0.5000, 0.5075, 0.5075)  8 Mg 2.92-3.22, 2 B 3.04
B (0.5000, 0.9349, 0.9349)  4 Mg 2.42-2.48

Results
As for the total energy: -2.22 eV/atom. As for the space-group type: No. 38. As for the formation energy: 3.5 eV/f.u.

=====

Entry 4:
Compound: Mg5NbB3O12
Source: Alexandria
Functional: PBE
Structure: relaxed

Unit cell a=9.4623 b=9.5541 c=9.4164 alpha=90.00 beta=90.00 gamma=90.00
With the nearest neighbours (Å) after each atom.
Element x y z (fractional)
Mg (0.0984, 0.0751, 0.1790)  6 O 2.03-2.21
Mg (0.0984, 0.4249, 0.1790)  6 O 2.03-2.21
Mg (0.1013, 0.7500, 0.1931)  6 O 2.06-2.19
Mg (0.1260, 0.0843, 0.5721)  6 O 2.05-2.18
Mg (0.1260, 0.4157, 0.5721)  6 O 2.05-2.18
Mg (0.3740, 0.5843, 0.0721)  6 O 2.05-2.18
Mg (0.3740, 0.9157, 0.0721)  6 O 2.05-2.18
Mg (0.3987, 0.2500, 0.6931)  6 O 2.06-2.19
Mg (0.4016, 0.5751, 0.6790)  6 O 2.03-2.21
Mg (0.4016, 0.9249, 0.6790)  6 O 2.03-2.21
Mg (0.5984, 0.0751, 0.3210)  6 O 2.03-2.21
Mg (0.5984, 0.4249, 0.3210)  6 O 2.03-2.21
Mg (0.6013, 0.7500, 0.3069)  6 O 2.06-2.19
Mg (0.6260, 0.0843, 0.9279)  6 O 2.05-2.18
Mg (0.6260, 0.4157, 0.9279)  6 O 2.05-2.18
Mg (0.8740, 0.5843, 0.4279)  6 O 2.05-2.18
Mg (0.8740, 0.9157, 0.4279)  6 O 2.05-2.18
Mg (0.8987, 0.2500, 0.8069)  6 O 2.06-2.19
Mg (0.9016, 0.5751, 0.8210)  6 O 2.03-2.21
Mg (0.9016, 0.9249, 0.8210)  6 O 2.03-2.21
Nb (0.0972, 0.7500, 0.5890)  3 O 1.91-1.95
Nb (0.4028, 0.2500, 0.0890)  3 O 1.91-1.95
Nb (0.5972, 0.7500, 0.9110)  3 O 1.91-1.95
Nb (0.9028, 0.2500, 0.4110)  3 O 1.91-1.95
B (0.1729, 0.0887, 0.8738)  3 O 1.37-1.42
B (0.1729, 0.4113, 0.8738)  3 O 1.37-1.42
B (0.1789, 0.7500, 0.8700)  3 O 1.36-1.42
B (0.3211, 0.2500, 0.3700)  3 O 1.36-1.42
B (0.3271, 0.5887, 0.3738)  3 O 1.37-1.42
B (0.3271, 0.9113, 0.3738)  3 O 1.37-1.42
B (0.6729, 0.0887, 0.6262)  3 O 1.37-1.42
B (0.6729, 0.4113, 0.6262)  3 O 1.37-1.42
B (0.6789, 0.7500, 0.6300)  3 O 1.36-1.42
B (0.8211, 0.2500, 0.1300)  3 O 1.36-1.42
B (0.8271, 0.5887, 0.1262)  3 O 1.37-1.42
B (0.8271, 0.9113, 0.1262)  3 O 1.37-1.42
O (0.0093, 0.0826, 0.3808)  1 Nb 1.91, 3 Mg 2.08-2.11
O (0.0093, 0.4174, 0.3808)  1 Nb 1.91, 3 Mg 2.08-2.11
O (0.0189, 0.7500, 0.3972)  1 Nb 1.95, 3 Mg 2.07-2.11
O (0.0286, 0.0887, 0.8697)  1 B 1.37
O (0.0286, 0.4113, 0.8697)  1 B 1.37
O (0.0370, 0.7500, 0.8369)  1 B 1.38
O (0.2347, 0.7500, 0.0032)  1 B 1.36
O (0.2368, 0.2500, 0.2455)  1 B 1.42
O (0.2411, 0.0914, 0.0075)  1 B 1.42
O (0.2411, 0.4086, 0.0075)  1 B 1.42
O (0.2476, 0.5840, 0.2494)  1 B 1.39
O (0.2476, 0.9160, 0.2494)  1 B 1.39
O (0.2524, 0.0840, 0.7494)  1 B 1.39
O (0.2524, 0.4160, 0.7494)  1 B 1.39
O (0.2589, 0.5914, 0.5075)  1 B 1.42
O (0.2589, 0.9086, 0.5075)  1 B 1.42
O (0.2632, 0.7500, 0.7455)  1 B 1.42
O (0.2653, 0.2500, 0.5032)  1 B 1.36
O (0.4630, 0.2500, 0.3369)  1 B 1.38
O (0.4714, 0.5887, 0.3697)  1 B 1.37
O (0.4714, 0.9113, 0.3697)  1 B 1.37
O (0.4811, 0.2500, 0.8972)  1 Nb 1.95, 3 Mg 2.07-2.11
O (0.4907, 0.5826, 0.8808)  1 Nb 1.91, 3 Mg 2.08-2.11
O (0.4907, 0.9174, 0.8808)  1 Nb 1.91, 3 Mg 2.08-2.11
O (0.5093, 0.0826, 0.1192)  1 Nb 1.91, 3 Mg 2.08-2.11
O (0.5093, 0.4174, 0.1192)  1 Nb 1.91, 3 Mg 2.08-2.11
O (0.5189, 0.7500, 0.1028)  1 Nb 1.95, 3 Mg 2.07-2.11
O (0.5286, 0.0887, 0.6303)  1 B 1.37
O (0.5286, 0.4113, 0.6303)  1 B 1.37
O (0.5370, 0.7500, 0.6631)  1 B 1.38
O (0.7347, 0.7500, 0.4968)  1 B 1.36
O (0.7368, 0.2500, 0.2545)  1 B 1.42
O (0.7411, 0.0914, 0.4925)  1 B 1.42
O (0.7411, 0.4086, 0.4925)  1 B 1.42
O (0.7476, 0.5840, 0.2506)  1 B 1.39
O (0.7476, 0.9160, 0.2506)  1 B 1.39
O (0.7524, 0.0840, 0.7506)  1 B 1.39
O (0.7524, 0.4160, 0.7506)  1 B 1.39
O (0.7589, 0.5914, 0.9925)  1 B 1.42
O (0.7589, 0.9086, 0.9925)  1 B 1.42
O (0.7632, 0.7500, 0.7545)  1 B 1.42
O (0.7653, 0.2500, 0.9968)  1 B 1.36
O (0.9630, 0.2500, 0.1631)  1 B 1.38
O (0.9714, 0.5887, 0.1303)  1 B 1.37
O (0.9714, 0.9113, 0.1303)  1 B 1.37
O (0.9811, 0.2500, 0.6028)  1 Nb 1.95, 3 Mg 2.07-2.11
O (0.9907, 0.5826, 0.6192)  1 Nb 1.91, 3 Mg 2.08-2.11
O (0.9907, 0.9174, 0.6192)  1 Nb 1.91, 3 Mg 2.08-2.11

Results
As for the total energy: -7.31 eV/atom. As for the space-group type: No. 62. The value obtained for the raw formation energy is -55.92 eV per formula unit.

=====

Entry 5:
Compound: Mg2NbB2Os5
Source: Alexandria
Functional: PBE
Structure: relaxed

Unit cell a=9.6291 b=9.6291 c=2.9978 alpha=90.00 beta=90.00 gamma=90.00
With the nearest neighbours (Å) after each atom.
Element x y z (fractional)
Mg (0.1774, 0.3226, 0.0000)  3 B 2.74-2.93, 10 Os 2.84-2.99, 2 Mg 3.00
Mg (0.3226, 0.8226, 0.0000)  3 B 2.74-2.93, 10 Os 2.84-2.99, 2 Mg 3.00
Mg (0.6774, 0.1774, 0.0000)  3 B 2.74-2.93, 10 Os 2.84-2.99, 2 Mg 3.00
Mg (0.8226, 0.6774, 0.0000)  3 B 2.74-2.93, 10 Os 2.84-2.99, 2 Mg 3.00
Nb (0.0000, 0.0000, 0.0000)  8 Os 2.69, 2 Nb 3.00
Nb (0.5000, 0.5000, 0.0000)  8 Os 2.69, 2 Nb 3.00
B (0.1211, 0.6211, 0.0000)  6 Os 2.19-2.23
B (0.3789, 0.1211, 0.0000)  6 Os 2.19-2.23
B (0.6211, 0.8789, 0.0000)  6 Os 2.19-2.23
B (0.8789, 0.3789, 0.0000)  6 Os 2.19-2.23
Os (0.0000, 0.5000, 0.5000)  4 B 2.23
Os (0.0707, 0.7796, 0.5000)  2 B 2.19
Os (0.2204, 0.0707, 0.5000)  2 B 2.19
Os (0.2796, 0.5707, 0.5000)  2 B 2.19
Os (0.4293, 0.2796, 0.5000)  2 B 2.19
Os (0.5000, 0.0000, 0.5000)  4 B 2.23
Os (0.5707, 0.7204, 0.5000)  2 B 2.19
Os (0.7204, 0.4293, 0.5000)  2 B 2.19
Os (0.7796, 0.9293, 0.5000)  2 B 2.19
Os (0.9293, 0.2204, 0.5000)  2 B 2.19

Results
As for the total energy: -8.29 eV/atom. As for the space-group type: No. 127. As for the formation energy: -0.1 eV/f.u.

=====

Entry 6:
Compound: MgNbBP2
Source: Alexandria
Functional: PBE
Structure: relaxed

Unit cell a=4.2796 b=4.2796 c=4.0255 alpha=90.00 beta=90.00 gamma=90.00
With the nearest neighbours (Å) after each atom.
Element x y z (fractional)
Mg (0.0000, 0.0000, 0.0000)  2 B 2.01
Nb (0.5000, 0.5000, 0.0000)  8 P 2.94, 4 Mg 3.03
B (0.0000, 0.0000, 0.5000)  2 Mg 2.01, 4 P 2.14
P (0.0000, 0.5000, 0.5000)  2 B 2.14
P (0.5000, 0.0000, 0.5000)  2 B 2.14

Results
As for the total energy: -5.09 eV/atom. As for the space-group type: No. 123. As for the formation energy: 3.7 eV/f.u.

=====

Entry 7:
Compound: Mg2NbB2Rh5
Source: Alexandria
Functional: PBE
Structure: relaxed

Unit cell a=9.6318 b=9.6318 c=2.9507 alpha=90.00 beta=90.00 gamma=90.00
With the nearest neighbours (Å) after each atom.
Element x y z (fractional)
Mg (0.1768, 0.3232, 0.0000)  3 B 2.76-2.92, 10 Rh 2.82-2.98, 2 Mg 2.95
Mg (0.3232, 0.8232, 0.0000)  3 B 2.76-2.92, 10 Rh 2.82-2.98, 2 Mg 2.95
Mg (0.6768, 0.1768, 0.0000)  3 B 2.76-2.92, 10 Rh 2.82-2.98, 2 Mg 2.95
Mg (0.8232, 0.6768, 0.0000)  3 B 2.76-2.92, 10 Rh 2.82-2.98, 2 Mg 2.95
Nb (0.0000, 0.0000, 0.0000)  8 Rh 2.68, 2 Nb 2.95
Nb (0.5000, 0.5000, 0.0000)  8 Rh 2.68, 2 Nb 2.95
B (0.1206, 0.6206, 0.0000)  6 Rh 2.18-2.21
B (0.3794, 0.1206, 0.0000)  6 Rh 2.18-2.21
B (0.6206, 0.8794, 0.0000)  6 Rh 2.18-2.21
B (0.8794, 0.3794, 0.0000)  6 Rh 2.18-2.21
Rh (0.0000, 0.5000, 0.5000)  4 B 2.21
Rh (0.0716, 0.7794, 0.5000)  2 B 2.18
Rh (0.2206, 0.0716, 0.5000)  2 B 2.18
Rh (0.2794, 0.5716, 0.5000)  2 B 2.18
Rh (0.4284, 0.2794, 0.5000)  2 B 2.18
Rh (0.5000, 0.0000, 0.5000)  4 B 2.21
Rh (0.5716, 0.7206, 0.5000)  2 B 2.18
Rh (0.7206, 0.4284, 0.5000)  2 B 2.18
Rh (0.7794, 0.9284, 0.5000)  2 B 2.18
Rh (0.9284, 0.2206, 0.5000)  2 B 2.18

Results
As for the total energy: -6.87 eV/atom. As for the space-group type: No. 127. As for the formation energy: -5.3 eV/f.u.

=====

Entry 8:
Compound: MgNb2B2Ru5
Source: Alexandria
Functional: PBE
Structure: relaxed

Unit cell a=9.3592 b=9.3592 c=3.0351 alpha=90.00 beta=90.00 gamma=90.00
With the nearest neighbours (Å) after each atom.
Element x y z (fractional)
Mg (0.0000, 0.0000, 0.0000)  8 Ru 2.63
Mg (0.5000, 0.5000, 0.0000)  8 Ru 2.63
Nb (0.1769, 0.3231, 0.0000)  3 B 2.62-2.87, 6 Ru 2.79-2.84
Nb (0.3231, 0.8231, 0.0000)  3 B 2.62-2.87, 6 Ru 2.79-2.84
Nb (0.6769, 0.1769, 0.0000)  3 B 2.62-2.87, 6 Ru 2.79-2.84
Nb (0.8231, 0.6769, 0.0000)  3 B 2.62-2.87, 6 Ru 2.79-2.84
B (0.1254, 0.6254, 0.0000)  6 Ru 2.17-2.25
B (0.3746, 0.1254, 0.0000)  6 Ru 2.17-2.25
B (0.6254, 0.8746, 0.0000)  6 Ru 2.17-2.25
B (0.8746, 0.3746, 0.0000)  6 Ru 2.17-2.25
Ru (0.0000, 0.5000, 0.5000)  4 B 2.25
Ru (0.0706, 0.7814, 0.5000)  2 B 2.17
Ru (0.2186, 0.0706, 0.5000)  2 B 2.17
Ru (0.2814, 0.5706, 0.5000)  2 B 2.17
Ru (0.4294, 0.2814, 0.5000)  2 B 2.17
Ru (0.5000, 0.0000, 0.5000)  4 B 2.25
Ru (0.5706, 0.7186, 0.5000)  2 B 2.17
Ru (0.7186, 0.4294, 0.5000)  2 B 2.17
Ru (0.7814, 0.9294, 0.5000)  2 B 2.17
Ru (0.9294, 0.2186, 0.5000)  2 B 2.17

Results
As for the total energy: -8.52 eV/atom. As for the space-group type: No. 127. As for the formation energy: -3.7 eV/f.u.

=====

Entry 9:
Compound: Mg2NbB2Ru5
Source: Alexandria
Functional: PBE
Structure: relaxed

Unit cell a=9.5361 b=9.5361 c=3.0028 alpha=90.00 beta=90.00 gamma=90.00
With the nearest neighbours (Å) after each atom.
Element x y z (fractional)
Mg (0.1775, 0.3225, 0.0000)  3 B 2.72-2.90, 10 Ru 2.83-2.96, 2 Mg 3.00
Mg (0.3225, 0.8225, 0.0000)  3 B 2.72-2.90, 10 Ru 2.83-2.96, 2 Mg 3.00
Mg (0.6775, 0.1775, 0.0000)  3 B 2.72-2.90, 10 Ru 2.83-2.96, 2 Mg 3.00
Mg (0.8225, 0.6775, 0.0000)  3 B 2.72-2.90, 10 Ru 2.83-2.96, 2 Mg 3.00
Nb (0.0000, 0.0000, 0.0000)  8 Ru 2.66
Nb (0.5000, 0.5000, 0.0000)  8 Ru 2.66
B (0.1211, 0.6211, 0.0000)  6 Ru 2.19-2.22
B (0.3789, 0.1211, 0.0000)  6 Ru 2.19-2.22
B (0.6211, 0.8789, 0.0000)  6 Ru 2.19-2.22
B (0.8789, 0.3789, 0.0000)  6 Ru 2.19-2.22
Ru (0.0000, 0.5000, 0.5000)  4 B 2.22
Ru (0.0697, 0.7806, 0.5000)  2 B 2.19
Ru (0.2194, 0.0697, 0.5000)  2 B 2.19
Ru (0.2806, 0.5697, 0.5000)  2 B 2.19
Ru (0.4303, 0.2806, 0.5000)  2 B 2.19
Ru (0.5000, 0.0000, 0.5000)  4 B 2.22
Ru (0.5697, 0.7194, 0.5000)  2 B 2.19
Ru (0.7194, 0.4303, 0.5000)  2 B 2.19
Ru (0.7806, 0.9303, 0.5000)  2 B 2.19
Ru (0.9303, 0.2194, 0.5000)  2 B 2.19

Results
As for the total energy: -7.50 eV/atom. As for the space-group type: No. 127. As for the formation energy: -2.0 eV/f.u.

=====

Entry 10:
Compound: MgNbVB2
Source: Alexandria
Functional: PBE
Structure: relaxed

Unit cell a=3.9573 b=3.9573 c=4.5313 alpha=90.00 beta=90.00 gamma=90.00
With the nearest neighbours (Å) after each atom.
Element x y z (fractional)
Mg (0.0000, 0.0000, 0.0000)  2 V 2.27
Nb (0.5000, 0.5000, 0.0000)  4 Mg 2.80, 8 B 3.01
V (0.0000, 0.0000, 0.5000)  4 B 1.98
B (0.0000, 0.5000, 0.5000)  2 V 1.98
B (0.5000, 0.0000, 0.5000)  2 V 1.98

Results
As for the total energy: -5.62 eV/atom. As for the space-group type: No. 123. As for the formation energy: 6.0 eV/f.u.

=====

Entry 11:
Compound: Mg2ZrNbB
Source: Alexandria
Functional: PBE
Structure: relaxed

Unit cell a=5.3165 b=5.3165 c=4.8902 alpha=90.00 beta=90.00 gamma=90.00
With the nearest neighbours (Å) after each atom.
Element x y z (fractional)
Mg (0.0000, 0.5000, 0.0000)  2 Nb 2.66
Mg (0.5000, 0.0000, 0.0000)  2 Nb 2.66
Zr (0.0000, 0.0000, 0.5000)  2 Nb 2.45
Nb (0.0000, 0.0000, 0.0000)  2 Zr 2.45, 4 Mg 2.66
B (0.5000, 0.5000, 0.5000)  8 Mg 3.61, 4 Zr 3.76

Results
As for the total energy: -3.87 eV/atom. As for the space-group type: No. 123. As for the formation energy: 9.1 eV/f.u.

=====

Entry 12:
Compound: Nd2MgBPt6
Source: Alexandria
Functional: PBE
Structure: relaxed

Unit cell a=7.4310 b=7.4310 c=7.4310 alpha=45.25 beta=45.25 gamma=45.25
With the nearest neighbours (Å) after each atom.
Element x y z (fractional)
Nd (0.2145, 0.2145, 0.2145)  6 Pt 3.07, 3 Mg 3.44
Nd (0.7855, 0.7855, 0.7855)  6 Pt 3.07, 3 Mg 3.44
Mg (0.5000, 0.5000, 0.5000)  6 Pt 2.62
B (0.0000, 0.0000, 0.0000)  6 Pt 2.12
Pt (0.2351, 0.2351, 0.7177)  1 B 2.12
Pt (0.2351, 0.7177, 0.2351)  1 B 2.12
Pt (0.2823, 0.7649, 0.7649)  1 B 2.12
Pt (0.7177, 0.2351, 0.2351)  1 B 2.12
Pt (0.7649, 0.2823, 0.7649)  1 B 2.12
Pt (0.7649, 0.7649, 0.2823)  1 B 2.12

Results
As for the total energy: -6.26 eV/atom. As for the space-group type: No. 166. As for the formation energy: -8.5 eV/f.u.